[1]
{
  "formula": "LaCeAsO",
  "functional": "PBE",
  "state": "relaxed",
  "lattice_angstrom": [[4.232, 0.000, 0.000], [0.000, 4.232, 0.000], [0.000, 0.000, 10.072]],
  "species": ["As", "As", "Ce", "O", "O", "Ce", "La", "La"],
  "frac_coords": [[0.500, 0.000, 0.708], [0.000, 0.500, 0.292], [0.500, 0.500, 0.500], [0.500, 0.500, 0.000], [0.000, 0.000, 0.000], [0.000, 0.000, 0.500], [0.000, 0.500, 0.885], [0.500, 0.000, 0.115]],
  "total_energy_ev_per_atom": -7.1421,
  "volume_a3_per_atom": 22.5,
  "raw_formation_energy_mev_per_atom": -2025
}

[2]
{
  "formula": "LaCeAs2O8",
  "functional": "PBE",
  "state": "relaxed",
  "lattice_angstrom": [[-2.316, 4.184, 3.955], [-0.402, -5.923, 1.805], [6.051, 1.262, -0.548]],
  "species": ["O", "O", "O", "As", "La", "O", "O", "O", "Ce", "O", "As", "O"],
  "frac_coords": [[0.488, 0.667, 0.821], [0.919, 0.596, 0.677], [0.333, 0.154, 0.821], [0.500, 0.500, 0.000], [0.000, 0.000, 0.000], [0.919, 0.242, 0.323], [0.404, 0.081, 0.323], [0.333, 0.512, 0.179], [0.250, 0.750, 0.500], [0.846, 0.667, 0.179], [0.750, 0.250, 0.500], [0.758, 0.081, 0.677]],
  "total_energy_ev_per_atom": -7.3058,
  "volume_a3_per_atom": 15.2,
  "raw_formation_energy_mev_per_atom": -2320
}

[3]
{
  "formula": "La3Ce2PaAs6",
  "functional": "PBE",
  "state": "relaxed",
  "lattice_angstrom": [[-4.396, 3.839, -4.530], [-2.430, -2.003, 6.683], [4.728, 5.365, 1.967]],
  "species": ["Pa", "La", "La", "As", "As", "La", "As", "As", "Ce", "As", "Ce", "As"],
  "frac_coords": [[0.000, 0.000, 0.000], [0.500, 0.500, 0.500], [0.831, 0.169, 0.500], [0.403, 0.078, 0.235], [0.078, 0.403, 0.235], [0.169, 0.831, 0.500], [0.246, 0.246, 0.764], [0.754, 0.754, 0.236], [0.334, 0.666, 0.000], [0.597, 0.922, 0.765], [0.666, 0.334, 0.000], [0.922, 0.597, 0.765]],
  "total_energy_ev_per_atom": -6.7769,
  "volume_a3_per_atom": 27.6
}